(1)
Compound: ReH12Br6
Source: Alexandria via LeMat-Bulk
Functional: GGA-PBE
Structure: optimized geometry

The structure in POSCAR format:
```
ReH12Br6
1.0
8.238 -1.598 -2.295
-2.549 7.995 -2.295
-1.421 -1.598 8.432
Re H Br
1 12 6
Direct
0.000 0.000 0.000 Re
0.534 0.096 0.769 H
0.096 0.769 0.534 H
0.769 0.534 0.096 H
0.466 0.904 0.231 H
0.904 0.231 0.466 H
0.231 0.466 0.904 H
0.842 0.867 0.730 H
0.270 0.158 0.133 H
0.133 0.270 0.158 H
0.158 0.133 0.270 H
0.730 0.842 0.867 H
0.867 0.730 0.842 H
0.189 0.296 0.725 Br
0.704 0.275 0.811 Br
0.275 0.811 0.704 Br
0.811 0.704 0.275 Br
0.296 0.725 0.189 Br
0.725 0.189 0.296 Br
```

Calculated values
Total magnetic moment ... 5.00 μB/f.u.
Total DFT energy (no corrections) ... -57.5 eV per formula unit
Calculated volume ... 23.7 A^3/atom
Symmetry ... R-3, No. 148

(2)
Compound: Re2HBr
Source: Alexandria via LeMat-Bulk
Functional: GGA-PBE
Structure: optimized geometry

The structure in POSCAR format:
```
Re2HBr
1.0
-1.809 4.125 2.161
-3.810 -2.644 1.857
-0.374 -0.147 5.743
Re Br H
4 2 2
Direct
0.490 0.125 0.250 Re
0.260 0.625 0.250 Re
0.375 0.510 0.750 Re
0.875 0.740 0.750 Re
0.000 0.000 0.000 Br
0.750 0.250 0.500 Br
0.500 0.500 0.000 H
0.250 0.750 0.500 H
```

Calculated values
Total magnetic moment ... 0.00 μB/f.u.
Calculated volume ... 14.2 A^3/atom
Symmetry ... I-42d, No. 122
Energy above the lowest structure with this stoichiometry ... 0 meV per atom

(3)
Compound: ReHBr2
Source: Alexandria via LeMat-Bulk
Functional: GGA-PBE
Structure: optimized geometry

The structure in POSCAR format:
```
ReHBr2
1.0
-4.700 2.183 -1.601
-0.633 -4.004 -3.603
-5.042 -3.560 0.759
Re Br H
2 4 2
Direct
0.000 0.000 0.000 Re
0.750 0.250 0.500 Re
0.578 0.125 0.250 Br
0.172 0.625 0.250 Br
0.375 0.422 0.750 Br
0.875 0.828 0.750 Br
0.500 0.500 0.000 H
0.250 0.750 0.500 H
```

Calculated values
Total magnetic moment ... 0.00 μB/f.u.
Calculated volume ... 18.0 A^3/atom
Symmetry ... I-42d, No. 122
Energy above the lowest structure with this stoichiometry ... 80 meV per atom

(4)
Compound: ReHBr2
Source: Alexandria via LeMat-Bulk
Functional: GGA-PBE
Structure: optimized geometry

The structure in POSCAR format:
```
ReHBr2
1.0
-3.688 2.811 6.302
-4.920 -0.080 6.083
-2.147 0.347 7.516
Re Br H
1 2 1
Direct
0.000 0.000 0.000 Re
0.896 0.896 0.896 Br
0.104 0.104 0.104 Br
0.500 0.500 0.500 H
```

Calculated values
Total magnetic moment ... 0.00 μB/f.u.
Calculated volume ... 16.3 A^3/atom
Symmetry ... R-3m, No. 166
Energy above the lowest structure with this stoichiometry ... 0 meV per atom

(5)
Compound: ReHBr3
Source: Alexandria via LeMat-Bulk
Functional: GGA-PBE
Structure: optimized geometry

The structure in POSCAR format:
```
ReHBr3
1.0
4.706 0.000 0.000
0.000 4.706 0.000
0.000 0.000 4.706
Re Br H
1 3 1
Direct
0.500 0.500 0.500 Re
0.000 0.500 0.000 Br
0.000 0.000 0.500 Br
0.500 0.000 0.000 Br
0.000 0.000 0.000 H
```

Calculated values
Total magnetic moment ... 4.88 μB/f.u.
Calculated volume ... 20.8 A^3/atom
Symmetry ... Pm-3m, No. 221
Energy above the lowest structure with this stoichiometry ... 708 meV per atom

(6)
Compound: ReH2Br4
Source: Alexandria via LeMat-Bulk
Functional: GGA-PBE
Structure: optimized geometry

The structure in POSCAR format:
```
ReH2Br4
1.0
3.572 0.000 -1.009
-0.875 6.023 -3.098
0.541 -2.235 8.743
Re H Br
1 2 4
Direct
0.000 0.000 0.000 Re
0.251 0.310 0.503 H
0.749 0.690 0.497 H
0.149 0.020 0.297 Br
0.851 0.980 0.703 Br
0.415 0.643 0.831 Br
0.585 0.357 0.169 Br
```

Calculated values
Total magnetic moment ... 1.01 μB/f.u.
Total DFT energy (no corrections) ... -25.0 eV per formula unit
Calculated volume ... 23.5 A^3/atom
Symmetry ... C2/m, No. 12

(7)
Compound: ReH2Br6
Source: Alexandria via LeMat-Bulk
Functional: GGA-PBE
Structure: optimized geometry

The structure in POSCAR format:
```
ReH2Br6
1.0
5.898 0.000 -0.853
0.000 7.149 0.000
1.550 0.000 12.233
Re H Br
2 4 12
Direct
0.500 0.500 0.000 Re
0.000 0.000 0.500 Re
0.994 0.701 0.921 H
0.506 0.201 0.579 H
0.494 0.799 0.421 H
0.006 0.299 0.079 H
0.252 0.859 0.354 Br
0.261 0.283 0.518 Br
0.294 0.332 0.854 Br
0.206 0.832 0.646 Br
0.239 0.783 0.982 Br
0.248 0.359 0.146 Br
0.748 0.141 0.646 Br
0.739 0.717 0.482 Br
0.706 0.668 0.146 Br
0.794 0.168 0.354 Br
0.761 0.217 0.018 Br
0.752 0.641 0.854 Br
```

Calculated values
Total magnetic moment ... 3.00 μB/f.u.
Total DFT energy (no corrections) ... -31.1 eV per formula unit
Calculated volume ... 29.2 A^3/atom
Symmetry ... P2_1/c, No. 14

(8)
Compound: ReHBr2
Source: Alexandria via LeMat-Bulk
Functional: GGA-PBE
Structure: optimized geometry

The structure in POSCAR format:
```
ReHBr2
1.0
0.000 3.118 3.118
3.118 0.000 3.118
3.118 3.118 0.000
Re Br H
1 2 1
Direct
0.500 0.500 0.500 Re
0.250 0.250 0.250 Br
0.750 0.750 0.750 Br
0.000 0.000 0.000 H
```

Calculated values
Total magnetic moment ... 0.00 μB/f.u.
Calculated volume ... 15.2 A^3/atom
Symmetry ... Fm-3m, No. 225
Energy above the lowest structure with this stoichiometry ... 198 meV per atom